# TaPtW

A relaxed structure of TaPtW (GGA-PBE, Alexandria).

Geometry as POSCAR:
```
TaPtW
1.0
-1.389 1.389 6.398
1.389 -1.389 6.398
1.389 1.389 -6.398
Ta Pt W
1 1 1
Direct
0.000 0.000 0.000
0.333 0.333 0.000
0.675 0.675 0.000
```

Results
The excess energy over the best structure of this formula in the dataset comes out at 0 meV per atom. Its space-group type is I4mm, No. 107.

***

# Ta2PtW

A relaxed structure of Ta2PtW (GGA-PBE, Alexandria).

Geometry as POSCAR:
```
Ta2PtW
1.0
3.335 0.000 0.000
0.000 3.335 0.000
0.000 0.000 6.132
Ta Pt W
2 1 1
Direct
0.000 0.000 0.000
0.500 0.500 0.264
0.500 0.500 0.760
0.000 0.000 0.497
```

Results
Its space-group type is P4mm, No. 99.

***

# TaPtW2

A relaxed structure of TaPtW2 (GGA-PBE, Alexandria).

Geometry as POSCAR:
```
TaPtW2
1.0
3.296 0.000 0.000
0.000 3.296 0.000
0.000 0.000 6.101
Ta Pt W
1 1 2
Direct
0.000 0.000 0.000
0.500 0.500 0.759
0.000 0.000 0.490
0.500 0.500 0.260
```

Results
The excess energy over the best structure of this formula in the dataset comes out at 55 meV per atom. Its space-group type is P4mm, No. 99.

***

# Ta3PtW

A relaxed structure of Ta3PtW (GGA-PBE, Alexandria).

Geometry as POSCAR:
```
Ta3PtW
1.0
4.805 0.000 0.000
0.000 4.805 0.000
0.000 0.000 4.805
Ta Pt W
3 1 1
Direct
0.000 0.000 0.500
0.000 0.500 0.000
0.500 0.000 0.000
0.000 0.000 0.000
0.500 0.500 0.500
```

Results
The excess energy over the best structure of this formula in the dataset comes out at 47 meV per atom. Its space-group type is Pm-3m, No. 221.

***

# Ta4PtW

A relaxed structure of Ta4PtW (GGA-PBE, Alexandria).

Geometry as POSCAR:
```
Ta4PtW
1.0
0.000 3.778 3.778
3.778 0.000 3.778
3.778 3.778 0.000
Ta Pt W
4 1 1
Direct
0.124 0.124 0.124
0.124 0.124 0.629
0.124 0.629 0.124
0.629 0.124 0.124
0.500 0.500 0.500
0.750 0.750 0.750
```

Results
Its space-group type is F-43m, No. 216.

***

# Ta2PtW

A relaxed structure of Ta2PtW (GGA-PBE, Alexandria).

Geometry as POSCAR:
```
Ta2PtW
1.0
1.763 -2.167 0.000
1.763 2.167 0.000
0.000 0.000 8.871
Ta Pt W
2 1 1
Direct
0.000 0.000 0.000
0.500 0.500 0.264
0.500 0.500 0.755
0.000 0.000 0.521
```

Results
Its space-group type is Cmm2, No. 35.

***

# TaPtW2

A relaxed structure of TaPtW2 (GGA-PBE, Alexandria).

Geometry as POSCAR:
```
TaPtW2
1.0
2.748 0.000 0.000
0.000 2.748 0.000
0.000 0.000 8.742
Ta Pt W
1 1 2
Direct
0.000 0.000 0.000
0.000 0.000 0.500
0.500 0.500 0.263
0.500 0.500 0.737
```

Results
The excess energy over the best structure of this formula in the dataset comes out at 104 meV per atom. Its space-group type is P4/mmm, No. 123.

***

# Ta2PtW

A relaxed structure of Ta2PtW (GGA-PBE, Alexandria).

Geometry as POSCAR:
```
Ta2PtW
1.0
2.797 0.000 0.000
0.000 4.114 0.000
-0.676 0.000 5.917
Ta Pt W
2 1 1
Direct
0.073 0.000 0.253
0.927 0.000 0.747
0.500 0.500 0.000
0.500 0.500 0.500
```

Results
Its space-group type is P2/m, No. 10.

***

# TaPtW2

A relaxed structure of TaPtW2 (GGA-PBE, Alexandria).

Geometry as POSCAR:
```
TaPtW2
1.0
1.729 -2.147 0.000
1.729 2.147 0.000
0.000 0.000 8.857
Ta Pt W
1 1 2
Direct
0.000 0.000 0.000
0.000 0.000 0.500
0.500 0.500 0.259
0.500 0.500 0.741
```

Results
The excess energy over the best structure of this formula in the dataset comes out at 72 meV per atom. Its space-group type is Cmmm, No. 65.

***

# TaPt2W

A relaxed structure of TaPt2W (GGA-PBE, Alexandria).

Geometry as POSCAR:
```
TaPt2W
1.0
3.936 0.000 0.000
0.000 3.936 0.000
0.000 0.000 4.131
Ta Pt W
1 2 1
Direct
0.000 0.000 0.000
0.000 0.500 0.500
0.500 0.000 0.500
0.500 0.500 0.000
```

Results
Its space-group type is P4/mmm, No. 123.

***

# Ta5PtW4

A relaxed structure of Ta5PtW4 (GGA-PBE, Alexandria).

Geometry as POSCAR:
```
Ta5PtW4
1.0
3.264 0.000 0.000
0.000 3.264 0.000
0.000 0.000 16.016
Ta Pt W
5 1 4
Direct
0.000 0.000 0.000
0.000 0.000 0.202
0.000 0.000 0.398
0.000 0.000 0.602
0.000 0.000 0.798
0.500 0.500 0.500
0.500 0.500 0.100
0.500 0.500 0.303
0.500 0.500 0.697
0.500 0.500 0.900
```

Results
Its space-group type is P4/mmm, No. 123.

***

# TaPtW2

A relaxed structure of TaPtW2 (GGA-PBE, Alexandria).

Geometry as POSCAR:
```
TaPtW2
1.0
2.757 -4.635 0.000
2.757 4.635 0.000
-0.920 0.000 2.578
Ta Pt W
1 1 2
Direct
0.000 0.000 0.000
0.500 0.500 0.000
0.000 0.500 0.500
0.500 0.000 0.500
```

Results
The excess energy over the best structure of this formula in the dataset comes out at 132 meV per atom. Its space-group type is C2/m, No. 12.

***

For reference, magnetic moment by record: 0.0000; 0.0000; 0.0000; 0.0000; 0.0000; 0.0000; 0.0000; 0.0000; 0.0000; 0.0000; 0.0000; 0.0000 μB/atom.
For reference, ΔE_f by record: -0.88; -0.59; -0.43; 7.96; 1.88; -0.75; -0.24; -0.77; -0.37; -1.77; -1.88; -0.12 eV per formula unit.